#a
Compound: SiSn2Cl
Source: Alexandria via LeMat-Bulk
Functional: PBE
Structure: relaxed

Calculated values
DOS at the Fermi energy   0.7164 states/eV/atom
Space group   Fm-3m (225)
Mass density   5.53 g cm⁻³

Cell: 5.038 5.038 5.038 Å, 60.00 60.00 60.00°
Element x y z (fractional)
Cl: 0.500 0.500 0.500
Sn: 0.250 0.250 0.250
Sn: 0.750 0.750 0.750
Si: 0.000 0.000 0.000

=====

#b
Compound: SiSn2Cl
Source: Alexandria via LeMat-Bulk
Functional: PBE
Structure: relaxed

Calculated values
DOS at the Fermi energy   0.6686 states/eV/atom
Space group   I-42d (122)
Mass density   4.73 g cm⁻³

Cell: 9.019 9.019 6.885 Å, 49.08 49.08 90.00°
Element x y z (fractional)
Si: 0.500 0.500 0.000
Si: 0.250 0.750 0.500
Sn: 0.210 0.625 0.250
Sn: 0.540 0.125 0.250
Sn: 0.375 0.460 0.750
Sn: 0.875 0.790 0.750
Cl: 0.000 0.000 0.000
Cl: 0.750 0.250 0.500

=====

Least stable: #a

=====

#a
Compound: SrSiCl2
Source: Alexandria via LeMat-Bulk
Functional: PBE
Structure: relaxed

Calculated values
DOS at the Fermi energy   0.3893 states/eV/atom
Space group   I4/mmm (139)
Mass density   3.06 g cm⁻³

Cell: 5.471 5.471 5.471 Å, 126.98 126.98 78.28°
Element x y z (fractional)
Si: 0.250 0.750 0.500
Cl: 0.000 0.000 0.000
Cl: 0.500 0.500 0.000
Sr: 0.750 0.250 0.500

=====

#b
Compound: SrSiCl2
Source: Alexandria via LeMat-Bulk
Functional: PBE
Structure: relaxed

Calculated values
DOS at the Fermi energy   0.4556 states/eV/atom
Space group   Pmmm (47)
Mass density   3.10 g cm⁻³

Cell: 3.746 6.025 4.425 Å, 90.00 90.00 90.00°
Element x y z (fractional)
Cl: 0.500 0.500 0.000
Cl: 0.000 0.000 0.000
Sr: 0.000 0.500 0.500
Si: 0.500 0.000 0.500

=====

#c
Compound: SrSiCl2
Source: Alexandria via LeMat-Bulk
Functional: PBE
Structure: relaxed

Calculated values
DOS at the Fermi energy   0.6036 states/eV/atom
Space group   I-42d (122)
Mass density   2.68 g cm⁻³

Cell: 5.001 5.001 9.885 Å, 75.35 75.35 90.00°
Element x y z (fractional)
Cl: 0.375 0.388 0.750
Cl: 0.875 0.862 0.750
Cl: 0.138 0.625 0.250
Cl: 0.612 0.125 0.250
Si: 0.500 0.500 0.000
Si: 0.250 0.750 0.500
Sr: 0.000 0.000 0.000
Sr: 0.750 0.250 0.500

=====

Least stable: #a

=====

#a
Compound: SrSiCl2
Source: Alexandria via LeMat-Bulk
Functional: PBE
Structure: relaxed

Calculated values
DOS at the Fermi energy   0.3877 states/eV/atom
Space group   Pmm2 (25)
Mass density   2.40 g cm⁻³

Cell: 4.050 5.711 5.582 Å, 90.00 90.00 90.00°
Element x y z (fractional)
Sr: 0.500 0.500 0.648
Cl: 0.000 0.000 0.037
Cl: 0.500 0.500 0.154
Si: 0.000 0.000 0.661

=====

#b
Compound: SrSiCl2
Source: Alexandria via LeMat-Bulk
Functional: PBE
Structure: relaxed

Calculated values
DOS at the Fermi energy   0.3109 states/eV/atom
Space group   R-3m (166)
Mass density   2.29 g cm⁻³

Cell: 9.165 9.165 9.165 Å, 26.50 26.50 26.50°
Element x y z (fractional)
Cl: 0.109 0.109 0.109
Cl: 0.891 0.891 0.891
Si: 0.000 0.000 0.000
Sr: 0.500 0.500 0.500

=====

#c
Compound: SrSiCl2
Source: Alexandria via LeMat-Bulk
Functional: PBE
Structure: relaxed

Calculated values
DOS at the Fermi energy   0.4991 states/eV/atom
Space group   C2/m (12)
Mass density   2.92 g cm⁻³

Cell: 5.163 5.163 5.657 Å, 85.09 85.09 44.97°
Element x y z (fractional)
Cl: 0.550 0.550 0.484
Cl: 0.950 0.950 0.016
Sr: 0.250 0.250 0.250
Si: 0.750 0.750 0.750

=====

#d
Compound: SrSiCl2
Source: Alexandria via LeMat-Bulk
Functional: PBE
Structure: relaxed

Calculated values
DOS at the Fermi energy   0.0919 states/eV/atom
Space group   Pm (6)
Mass density   2.68 g cm⁻³

Cell: 5.769 3.951 5.450 Å, 68.60 90.00 90.00°
Element x y z (fractional)
Sr: 0.500 0.940 0.744
Cl: 0.000 0.840 0.943
Cl: 0.500 0.226 0.170
Si: 0.000 0.493 0.642

=====

Least stable: #a

=====

#a
Compound: SrSi2Cl
Source: Alexandria via LeMat-Bulk
Functional: PBE
Structure: relaxed

Calculated values
DOS at the Fermi energy   0.3619 states/eV/atom
Space group   R-3m (166)
Mass density   3.14 g cm⁻³

Cell: 9.289 9.289 9.289 Å, 21.56 21.56 21.56°
Element x y z (fractional)
Cl: 0.750 0.750 0.750
Si: 0.491 0.491 0.491
Si: 0.009 0.009 0.009
Sr: 0.250 0.250 0.250

=====

#b
Compound: SrSi2Cl
Source: Alexandria via LeMat-Bulk
Functional: PBE
Structure: relaxed

Calculated values
DOS at the Fermi energy   0.3227 states/eV/atom
Space group   Cmmm (65)
Mass density   2.66 g cm⁻³

Cell: 6.556 6.556 3.604 Å, 90.00 90.00 133.81°
Element x y z (fractional)
Si: 0.500 0.500 0.000
Si: 0.000 0.000 0.000
Cl: 0.000 0.500 0.500
Sr: 0.500 0.000 0.500

=====

Least stable: #a

=====

#a
Compound: SrSi2Cl
Source: Alexandria via LeMat-Bulk
Functional: PBE
Structure: relaxed

Calculated values
DOS at the Fermi energy   0.5402 states/eV/atom
Space group   Pm (6)
Mass density   2.75 g cm⁻³

Cell: 3.625 3.626 8.258 Å, 85.17 90.00 90.00°
Element x y z (fractional)
Si: 0.500 0.410 0.167
Si: 0.000 0.915 0.167
Sr: 0.000 0.353 0.500
Cl: 0.500 0.821 0.666

=====

#b
Compound: SrSi2Cl
Source: Alexandria via LeMat-Bulk
Functional: PBE
Structure: relaxed

Calculated values
DOS at the Fermi energy   0.6637 states/eV/atom
Space group   P4/mmm (123)
Mass density   3.11 g cm⁻³

Cell: 3.878 3.879 6.356 Å, 90.00 90.00 90.00°
Element x y z (fractional)
Si: 0.500 0.500 0.000
Si: 0.000 0.000 0.000
Cl: 0.000 0.500 0.500
Sr: 0.500 0.000 0.500

=====

#c
Compound: SrSi2Cl
Source: Alexandria via LeMat-Bulk
Functional: PBE
Structure: relaxed

Calculated values
DOS at the Fermi energy   0.4096 states/eV/atom
Space group   F-43m (216)
Mass density   3.26 g cm⁻³

Cell: 5.056 5.056 5.056 Å, 60.00 60.00 60.00°
Element x y z (fractional)
Sr: 0.750 0.750 0.750
Si: 0.000 0.000 0.000
Si: 0.250 0.250 0.250
Cl: 0.500 0.500 0.500

=====

Least stable: #c

=====

#a
Compound: SrSi2Cl
Source: Alexandria via LeMat-Bulk
Functional: PBE
Structure: relaxed

Calculated values
DOS at the Fermi energy   0.1112 states/eV/atom
Space group   R3m (160)
Mass density   2.62 g cm⁻³

Cell: 8.519 8.519 8.519 Å, 27.18 27.18 27.18°
Element x y z (fractional)
Sr: 0.506 0.506 0.506
Si: 0.265 0.265 0.265
Si: 0.957 0.957 0.957
Cl: 0.772 0.772 0.772

=====

#b
Compound: SrSi2Cl
Source: Alexandria via LeMat-Bulk
Functional: PBE
Structure: relaxed

Calculated values
DOS at the Fermi energy   0.7188 states/eV/atom
Space group   Fm-3m (225)
Mass density   3.02 g cm⁻³

Cell: 5.187 5.187 5.187 Å, 60.00 60.00 60.00°
Element x y z (fractional)
Sr: 0.500 0.500 0.500
Si: 0.250 0.250 0.250
Si: 0.750 0.750 0.750
Cl: 0.000 0.000 0.000

=====

Least stable: #b

=====

#a
Compound: SrSi2Cl
Source: Alexandria via LeMat-Bulk
Functional: PBE
Structure: relaxed

Calculated values
DOS at the Fermi energy   0.3198 states/eV/atom
Space group   P2/m (10)
Mass density   2.73 g cm⁻³

Cell: 6.414 3.856 4.407 Å, 87.71 90.00 90.00°
Element x y z (fractional)
Cl: 0.500 0.750 0.750
Si: 0.000 0.493 0.396
Si: 0.000 0.007 0.104
Sr: 0.500 0.250 0.250

=====

#b
Compound: SrSi2Cl
Source: Alexandria via LeMat-Bulk
Functional: PBE
Structure: relaxed

Calculated values
DOS at the Fermi energy   0.6518 states/eV/atom
Space group   Immm (71)
Mass density   3.10 g cm⁻³

Cell: 6.972 6.972 6.972 Å, 147.81 147.70 46.25°
Element x y z (fractional)
Si: 0.500 0.500 0.000
Si: 0.000 0.000 0.000
Cl: 0.750 0.250 0.500
Sr: 0.250 0.750 0.500

=====

#c
Compound: SrSi2Cl
Source: Alexandria via LeMat-Bulk
Functional: PBE
Structure: relaxed

Calculated values
DOS at the Fermi energy   0.5405 states/eV/atom
Space group   I-42d (122)
Mass density   2.28 g cm⁻³

Cell: 10.085 10.085 7.577 Å, 48.28 48.28 90.00°
Element x y z (fractional)
Sr: 0.000 0.000 0.000
Sr: 0.750 0.250 0.500
Cl: 0.250 0.750 0.500
Cl: 0.500 0.500 0.000
Si: 0.625 0.125 0.250
Si: 0.375 0.375 0.750
Si: 0.125 0.625 0.250
Si: 0.875 0.875 0.750

=====

Least stable: #c

=====

#a
Compound: SrSi2Cl
Source: Alexandria via LeMat-Bulk
Functional: PBE
Structure: relaxed

Calculated values
DOS at the Fermi energy   0.5359 states/eV/atom
Space group   C2/m (12)
Mass density   2.76 g cm⁻³

Cell: 6.603 6.603 4.437 Å, 85.54 85.54 34.06°
Element x y z (fractional)
Cl: 0.250 0.250 0.250
Si: 0.009 0.009 0.886
Si: 0.491 0.491 0.614
Sr: 0.750 0.750 0.750

=====

#b
Compound: SrSi2Cl
Source: Alexandria via LeMat-Bulk
Functional: PBE
Structure: relaxed

Calculated values
DOS at the Fermi energy   0.2728 states/eV/atom
Space group   Imm2 (44)
Mass density   2.71 g cm⁻³

Cell: 5.725 5.725 5.725 Å, 139.65 110.72 83.35°
Element x y z (fractional)
Cl: 0.739 0.239 0.500
Sr: 0.504 0.504 0.000
Si: 0.197 0.697 0.500
Si: 0.059 0.059 0.000

=====

Least stable: #b

=====

#a
Compound: Sr2SiCl
Source: Alexandria via LeMat-Bulk
Functional: PBE
Structure: relaxed

Calculated values
DOS at the Fermi energy   0.3927 states/eV/atom
Space group   I-42d (122)
Mass density   2.37 g cm⁻³

Cell: 6.787 6.787 8.696 Å, 67.03 67.03 90.00°
Element x y z (fractional)
Cl: 0.000 0.000 0.000
Cl: 0.750 0.250 0.500
Si: 0.500 0.500 0.000
Si: 0.250 0.750 0.500
Sr: 0.875 0.876 0.750
Sr: 0.626 0.125 0.250
Sr: 0.124 0.625 0.250
Sr: 0.375 0.374 0.750

=====

#b
Compound: Sr2SiCl
Source: Alexandria via LeMat-Bulk
Functional: PBE
Structure: relaxed

Calculated values
DOS at the Fermi energy   0.6017 states/eV/atom
Space group   Amm2 (38)
Mass density   3.34 g cm⁻³

Cell: 6.360 6.360 5.185 Å, 90.00 90.00 34.50°
Element x y z (fractional)
Sr: 0.993 0.993 0.125
Sr: 0.744 0.744 0.625
Cl: 0.503 0.503 0.625
Si: 0.260 0.260 0.125

=====

#c
Compound: Sr2SiCl
Source: Alexandria via LeMat-Bulk
Functional: PBE
Structure: relaxed

Calculated values
DOS at the Fermi energy   0.9055 states/eV/atom
Space group   I-4m2 (119)
Mass density   3.14 g cm⁻³

Cell: 7.292 7.292 7.292 Å, 145.13 145.13 50.14°
Element x y z (fractional)
Sr: 0.250 0.750 0.500
Sr: 0.000 0.000 0.000
Si: 0.750 0.250 0.500
Cl: 0.500 0.500 0.000

=====

#d
Compound: Sr2SiCl
Source: Alexandria via LeMat-Bulk
Functional: PBE
Structure: relaxed

Calculated values
DOS at the Fermi energy   0.8997 states/eV/atom
Space group   P4/mmm (123)
Mass density   3.15 g cm⁻³

Cell: 4.468 4.468 6.311 Å, 90.00 90.00 90.00°
Element x y z (fractional)
Sr: 0.000 0.000 0.875
Sr: 0.500 0.500 0.375
Cl: 0.000 0.000 0.375
Si: 0.500 0.500 0.875

=====

Least stable: #c

=====

#a
Compound: Sr2SiCl
Source: Alexandria via LeMat-Bulk
Functional: PBE
Structure: relaxed

Calculated values
DOS at the Fermi energy   1.5120 states/eV/atom
Space group   F-43m (216)
Mass density   3.42 g cm⁻³

Cell: 5.473 5.473 5.473 Å, 60.00 60.00 60.00°
Element x y z (fractional)
Sr: 0.250 0.250 0.250
Sr: 0.000 0.000 0.000
Si: 0.750 0.750 0.750
Cl: 0.500 0.500 0.500

=====

#b
Compound: Sr2SiCl
Source: Alexandria via LeMat-Bulk
Functional: PBE
Structure: relaxed

Calculated values
DOS at the Fermi energy   0.5426 states/eV/atom
Space group   R3m (160)
Mass density   3.05 g cm⁻³

Cell: 4.312 4.312 8.448 Å, 75.22 75.22 60.00°
Element x y z (fractional)
Cl: 0.496 0.496 0.511
Si: 0.668 0.668 0.997
Sr: 0.078 0.078 0.767
Sr: 0.258 0.258 0.225

=====

Least stable: #a

=====

#a
Compound: Sr2SiCl
Source: Alexandria via LeMat-Bulk
Functional: PBE
Structure: relaxed

Calculated values
DOS at the Fermi energy   0.3725 states/eV/atom
Space group   R-3m (166)
Mass density   3.09 g cm⁻³

Cell: 8.120 8.120 8.120 Å, 31.29 31.29 31.29°
Element x y z (fractional)
Sr: 0.005 0.005 0.005
Sr: 0.495 0.495 0.495
Cl: 0.250 0.250 0.250
Si: 0.750 0.750 0.750

=====

#b
Compound: Sr2SiCl
Source: Alexandria via LeMat-Bulk
Functional: PBE
Structure: relaxed

Calculated values
DOS at the Fermi energy   1.0121 states/eV/atom
Space group   Fm-3m (225)
Mass density   3.42 g cm⁻³

Cell: 5.471 5.471 5.471 Å, 60.00 60.00 60.00°
Element x y z (fractional)
Cl: 0.500 0.500 0.500
Si: 0.000 0.000 0.000
Sr: 0.250 0.250 0.250
Sr: 0.750 0.750 0.750

=====

Least stable: #b